Entry 1:
## AcRe2HgO8 (PBE-GGA)

Data for a relaxed structure of AcRe2HgO8.

The structure in extended XYZ format:
```
12
Lattice="-1.854 5.678 -3.748 -6.783 1.138 -1.555 -3.503 5.353 3.209" Properties=species:S:1:pos:R:3 pbc="T T T"
O -3.859 7.226 -0.410
Ac -6.070 6.084 -1.047
O -5.369 7.625 -2.979
O -4.274 4.270 -0.765
O -5.793 4.716 -3.257
Re -3.032 3.026 -0.549
Re -9.109 9.142 -1.544
Hg 0.000 0.000 0.000
O -7.867 7.898 -1.329
O -8.281 4.942 -1.684
O -6.771 4.544 0.885
O -6.347 7.452 1.163
```

Values from the calculation:
VASP energy	-7.65	eV/atom
crystal system	trigonal
total moment	0.000	μB/cell
density	6.080	Mg/m³


Entry 2:
## Tb2PuTe4 (PBE-GGA)

Data for a relaxed structure of Tb2PuTe4.

The structure in extended XYZ format:
```
14
Lattice="7.626 0.000 -2.756 -3.800 6.644 -2.676 -0.026 0.000 8.108" Properties=species:S:1:pos:R:3 pbc="T T T"
Pu 3.813 3.322 -1.378
Te 5.165 3.985 1.602
Te 1.875 4.986 0.509
Te 1.098 1.664 5.648
Tb -0.484 4.132 -1.331
Tb 6.196 0.810 1.291
Pu 0.000 0.000 0.000
Te 1.888 4.979 -3.545
Te 4.911 1.657 4.270
Tb -0.497 5.834 2.723
Te -2.447 5.981 0.304
Tb 2.384 2.512 2.669
Te 3.261 0.663 0.270
Te -0.551 2.659 1.648
```

Values from the calculation:
VASP energy	-6.44	eV/atom
crystal system	tetragonal
total moment	11.988	μB/cell
density	8.679	Mg/m³


Number 1: formation energy without anion corrections -22.87 eV/f.u.. Number 2: formation energy without anion corrections -8.93 eV/f.u..